Entry 1:
# PBE Dy2HoMg5Sc2, optimized geometry
# - DFT total energy: -3.412 eV/atom
# - V: 26.29 A^3/atom
# - SG: No. 127
# - ΔE_f: 29 kJ/mol of formula units
data_Dy2HoMg5Sc2
_chemical_formula_sum 'Dy4 Ho2 Mg10 Sc4'
_space_group_name_H-M_alt 'P 1'
_space_group_IT_number 1
_cell_length_a 4.959
_cell_length_b 10.296
_cell_length_c 10.296
_cell_angle_alpha 90.00
_cell_angle_beta 90.00
_cell_angle_gamma 90.00
loop_
_space_group_symop_operation_xyz
'x,y,z'
loop_
_atom_site_label
_atom_site_type_symbol
_atom_site_fract_x
_atom_site_fract_y
_atom_site_fract_z
_atom_site_occupancy
Dy1 Dy 0.000 0.679 0.179 1
Ho1 Ho 0.000 0.500 0.500 1
Mg1 Mg 0.500 0.703 0.431 1
Mg2 Mg 0.500 0.797 0.931 1
Dy2 Dy 0.000 0.821 0.679 1
Sc1 Sc 0.000 0.884 0.384 1
Dy3 Dy 0.000 0.321 0.821 1
Sc2 Sc 0.000 0.384 0.116 1
Mg3 Mg 0.500 0.297 0.569 1
Mg4 Mg 0.500 0.000 0.500 1
Mg5 Mg 0.500 0.069 0.797 1
Mg6 Mg 0.500 0.931 0.203 1
Dy4 Dy 0.000 0.179 0.321 1
Sc3 Sc 0.000 0.616 0.884 1
Mg7 Mg 0.500 0.203 0.069 1
Ho2 Ho 0.000 0.000 0.000 1
Mg8 Mg 0.500 0.431 0.297 1
Sc4 Sc 0.000 0.116 0.616 1
Mg9 Mg 0.500 0.500 0.000 1
Mg10 Mg 0.500 0.569 0.703 1

Entry 2:
# PBE KRbTe2Pb, optimized geometry
# - DFT total energy: -3.143 eV/atom
# - V: 54.32 A^3/atom
# - SG: No. 12
data_KRbTe2Pb
_chemical_formula_sum 'K2 Rb2 Te4 Pb2'
_space_group_name_H-M_alt 'P 1'
_space_group_IT_number 1
_cell_length_a 5.004
_cell_length_b 9.982
_cell_length_c 11.437
_cell_angle_alpha 100.48
_cell_angle_beta 90.00
_cell_angle_gamma 104.52
loop_
_space_group_symop_operation_xyz
'x,y,z'
loop_
_atom_site_label
_atom_site_type_symbol
_atom_site_fract_x
_atom_site_fract_y
_atom_site_fract_z
_atom_site_occupancy
Pb1 Pb 0.008 0.016 0.154 1
Te1 Te 0.146 0.292 0.854 1
Te2 Te 0.854 0.708 0.146 1
Te3 Te 0.567 0.133 0.303 1
Rb1 Rb 0.611 0.222 0.629 1
K1 K 0.330 0.660 0.927 1
K2 K 0.670 0.340 0.073 1
Te4 Te 0.433 0.867 0.697 1
Pb2 Pb 0.992 0.984 0.846 1
Rb2 Rb 0.389 0.778 0.371 1

Respective total magnetic moment values: 0.00, 0.00 μB per atom.